Compound: GaGeW
Source: Alexandria
Functional: GGA-PBE
Structure: relaxed

Cell and atoms, written as extended XYZ:
```
6
Lattice="2.1726 1.2544 6.5823 -2.1726 1.2544 6.5823 0.0000 -2.5087 6.5823" Properties=species:S:1:pos:R:3 pbc="T T T"
Ga 0.0000 0.0000 2.7169
Ga 0.0000 0.0000 17.0300
Ge 0.0000 0.0000 7.9875
Ge 0.0000 0.0000 11.7595
W 0.0000 0.0000 5.4286
W 0.0000 0.0000 14.3183
```

Calculated values
Calculated formation energy   37 kJ per mole of atoms
Total moment   0.00 Bohr magnetons per cell
N(E_F)   0.512 states/eV/atom